No. 1
{"formula": "Sr2LiGaPt", "functional": "PBE", "state": "optimized geometry", "lattice_angstrom": [[5.9375, 0.0000, 0.0000], [0.0000, 5.9375, 0.0000], [0.0000, 0.0000, 4.8488]], "species": ["Sr", "Sr", "Ga", "Pt", "Li"], "frac_coords": [[0.0000, 0.5000, 0.0000], [0.5000, 0.0000, 0.0000], [0.0000, 0.0000, 0.5000], [0.0000, 0.0000, 0.0000], [0.5000, 0.5000, 0.5000]], "spacegroup": "No. 123", "volume_a3_per_atom": 34.19, "dos_ef_per_ev_fu": 3.69, "e_form_mev_per_atom": -417.2}

No. 2
{"formula": "Sr2La2P", "functional": "PBE", "state": "optimized geometry", "lattice_angstrom": [[-6.4946, -4.0824, 2.0956], [4.5641, -5.3705, 3.6830], [-0.3834, 3.3953, 5.4261]], "species": ["Sr", "Sr", "Sr", "Sr", "P", "P", "La", "La", "La", "La"], "frac_coords": [[0.3265, 0.8265, 0.0000], [0.8265, 0.6735, 0.0000], [0.6735, 0.1735, 0.0000], [0.1735, 0.3265, 0.0000], [0.0000, 0.0000, 0.0000], [0.5000, 0.5000, 0.0000], [0.1376, 0.6376, 0.5000], [0.6376, 0.8624, 0.5000], [0.8624, 0.3624, 0.5000], [0.3624, 0.1376, 0.5000]], "spacegroup": "No. 127", "volume_a3_per_atom": 40.55, "dos_ef_per_ev_fu": 8.66, "e_form_mev_per_atom": 23.7, "e_above_lowest_polymorph_mev_per_atom": 268}

No. 3
{"formula": "HfHg2Pd9", "functional": "PBE", "state": "optimized geometry", "lattice_angstrom": [[4.0136, 0.0000, 0.0000], [0.0000, 4.0136, 0.0000], [0.0000, 0.0000, 12.3264]], "species": ["Hf", "Hg", "Hg", "Pd", "Pd", "Pd", "Pd", "Pd", "Pd", "Pd", "Pd", "Pd"], "frac_coords": [[0.0000, 0.0000, 0.0000], [0.0000, 0.0000, 0.3335], [0.0000, 0.0000, 0.6665], [0.5000, 0.5000, 0.0000], [0.5000, 0.5000, 0.3279], [0.5000, 0.5000, 0.6721], [0.5000, 0.0000, 0.1594], [0.5000, 0.0000, 0.5000], [0.5000, 0.0000, 0.8406], [0.0000, 0.5000, 0.1594], [0.0000, 0.5000, 0.5000], [0.0000, 0.5000, 0.8406]], "spacegroup": "No. 123", "volume_a3_per_atom": 16.55, "dos_ef_per_ev_fu": 12.65, "e_form_mev_per_atom": -381.5}

No. 4
{"formula": "NaDyCd2In2", "functional": "PBE", "state": "optimized geometry", "lattice_angstrom": [[-3.2670, 3.5317, 1.2398], [0.6283, -3.9486, 2.9490], [5.1162, 3.4798, 3.5692]], "species": ["Na", "Dy", "Cd", "Cd", "In", "In"], "frac_coords": [[0.0000, 0.0000, 0.0000], [0.0000, 0.0000, 0.5000], [0.3333, 0.6667, 0.2653], [0.6667, 0.3333, 0.7347], [0.3333, 0.6667, 0.7302], [0.6667, 0.3333, 0.2698]], "spacegroup": "No. 164", "volume_a3_per_atom": 25.45, "dos_ef_per_ev_fu": 1.92, "e_form_mev_per_atom": -259.9}